The following is a DFT calculation (GGA-PBE) of a relaxed structure of PAuF2.

Values from the calculation:
Raw total energy in hartree per atom: -0.1308
Formation energy (no corrections) in eV per atom: -0.45
Energy relative to the lowest polymorph listed for this composition in kcal/mol of atoms: 14.03

Geometry as CIF:
```
data_PAuF2
_chemical_formula_sum 'P4 Au4 F8'
_cell_length_a 3.741
_cell_length_b 3.741
_cell_length_c 15.632
_cell_angle_alpha 90.00
_cell_angle_beta 90.00
_cell_angle_gamma 90.00
_symmetry_space_group_name_H-M 'I -4 2 d'
_symmetry_Int_Tables_number 122
_symmetry_space_group_name_Hall 'I -4 2bw'
loop_
_atom_site_label
_atom_site_fract_x
_atom_site_fract_y
_atom_site_fract_z
P1 0.000 0.000 0.000
Au1 0.000 0.000 0.500
F1 0.208 0.250 0.125
```

***

The following is a DFT calculation (GGA-PBE) of a relaxed structure of TlCoTc2.

Values from the calculation:
ΔH_f (0 K) in eV/atom: 0.5936
Raw total energy in hartree per atom: -0.2557
Energy relative to the lowest polymorph listed for this composition in kcal/mol of atoms: 4.30

Geometry as CIF:
```
data_TlCoTc2
_chemical_formula_sum 'Tl4 Co4 Tc8'
_cell_length_a 6.301
_cell_length_b 6.301
_cell_length_c 6.301
_cell_angle_alpha 90.00
_cell_angle_beta 90.00
_cell_angle_gamma 90.00
_symmetry_space_group_name_H-M 'F -4 3 m'
_symmetry_Int_Tables_number 216
_symmetry_space_group_name_Hall 'F -4 2 3'
loop_
_atom_site_label
_atom_site_fract_x
_atom_site_fract_y
_atom_site_fract_z
Tl1 0.000 0.000 0.000
Co1 0.250 0.250 0.750
Tc1 0.000 0.000 0.500
Tc2 0.250 0.250 0.250
```

***

The following is a DFT calculation (GGA-PBE) of a relaxed structure of HfTh2Mn2N6.

Values from the calculation:
Raw total energy in hartree per atom: -0.3421
Formation energy (no corrections) in eV per atom: -0.85

Geometry as CIF:
```
data_HfTh2Mn2N6
_chemical_formula_sum 'Hf3 Th6 Mn6 N18'
_cell_length_a 5.5372
_cell_length_b 5.5372
_cell_length_c 16.9995
_cell_angle_alpha 90.00
_cell_angle_beta 90.00
_cell_angle_gamma 120.00
_symmetry_space_group_name_H-M 'R -3 m'
_symmetry_Int_Tables_number 166
_symmetry_space_group_name_Hall '-R 3 2"'
loop_
_atom_site_label
_atom_site_fract_x
_atom_site_fract_y
_atom_site_fract_z
Hf1 0.0000 0.0000 0.0000
Th1 0.0000 0.0000 0.2113
Mn1 0.0000 0.0000 0.3971
N1 0.0143 0.5071 0.7604
```

***

The following is a DFT calculation (GGA-PBE) of a relaxed structure of Nb3BrN.

Values from the calculation:
Raw total energy in hartree per atom: -0.2921
Formation energy (no corrections) in eV per atom: 0.09
Energy relative to the lowest polymorph listed for this composition in kcal/mol of atoms: 0.00

Geometry as CIF:
```
data_Nb3BrN
_chemical_formula_sum 'Nb3 Br1 N1'
_cell_length_a 4.340
_cell_length_b 4.340
_cell_length_c 4.340
_cell_angle_alpha 90.00
_cell_angle_beta 90.00
_cell_angle_gamma 90.00
_symmetry_space_group_name_H-M 'P m -3 m'
_symmetry_Int_Tables_number 221
_symmetry_space_group_name_Hall '-P 4 2 3'
loop_
_atom_site_label
_atom_site_fract_x
_atom_site_fract_y
_atom_site_fract_z
Nb1 0.000 0.000 0.500
Br1 0.500 0.500 0.500
N1 0.000 0.000 0.000
```

***

The following is a DFT calculation (GGA-PBE) of a relaxed structure of Ca3Si4Ni2.

Values from the calculation:
Raw total energy in hartree per atom: -0.1796
Formation energy (no corrections) in eV per atom: -0.53
Energy relative to the lowest polymorph listed for this composition in kcal/mol of atoms: 0.70

Geometry as CIF:
```
data_Ca3Si4Ni2
_chemical_formula_sum 'Ca6 Si8 Ni4'
_cell_length_a 10.672
_cell_length_b 4.102
_cell_length_c 8.035
_cell_angle_alpha 90.00
_cell_angle_beta 105.69
_cell_angle_gamma 90.00
_symmetry_space_group_name_H-M 'C 1 2/m 1'
_symmetry_Int_Tables_number 12
loop_
_symmetry_equiv_pos_as_xyz
'x,y,z'
'-x,-y,-z'
'-x,y,-z'
'x,-y,z'
'x+1/2,y+1/2,z'
'-x+1/2,-y+1/2,-z'
'-x+1/2,y+1/2,-z'
'x+1/2,-y+1/2,z'
loop_
_atom_site_label
_atom_site_fract_x
_atom_site_fract_y
_atom_site_fract_z
Ca1 0.000 0.000 0.000
Ca2 0.109 0.500 0.690
Si1 0.120 0.000 0.416
Si2 0.224 0.500 0.076
Ni1 0.187 0.500 0.346
```

***

The following is a DFT calculation (GGA-PBE) of a relaxed structure of LiPuZn2O6.

Values from the calculation:
Raw total energy in hartree per atom: -0.2461
Formation energy (no corrections) in eV per atom: -1.84

Geometry as CIF:
```
data_LiPuZn2O6
_chemical_formula_sum 'Li3 Pu3 Zn6 O18'
_cell_length_a 5.2994
_cell_length_b 5.2994
_cell_length_c 14.4689
_cell_angle_alpha 90.00
_cell_angle_beta 90.00
_cell_angle_gamma 120.00
_symmetry_space_group_name_H-M 'R 3'
_symmetry_Int_Tables_number 146
_symmetry_space_group_name_Hall 'R 3'
loop_
_atom_site_label
_atom_site_fract_x
_atom_site_fract_y
_atom_site_fract_z
Li1 0.0000 0.0000 0.0000
Pu1 0.0000 0.0000 0.4864
Zn1 0.0000 0.0000 0.2789
Zn2 0.0000 0.0000 0.7914
O1 0.0208 0.3361 0.5607
O2 0.0352 0.6679 0.0666
```

***

The following is a DFT calculation (GGA-PBE) of a relaxed structure of LiLa2GaH.

Values from the calculation:
Raw total energy in hartree per atom: -0.1430
Energy relative to the lowest polymorph listed for this composition in kcal/mol of atoms: 3.06

Geometry as CIF:
```
data_LiLa2GaH
_chemical_formula_sum 'Li1 La2 Ga1 H1'
_cell_length_a 5.103
_cell_length_b 5.103
_cell_length_c 4.216
_cell_angle_alpha 90.00
_cell_angle_beta 90.00
_cell_angle_gamma 90.00
_symmetry_space_group_name_H-M 'P 4/m m m'
_symmetry_Int_Tables_number 123
_symmetry_space_group_name_Hall '-P 4 2'
loop_
_atom_site_label
_atom_site_fract_x
_atom_site_fract_y
_atom_site_fract_z
Li1 0.000 0.000 0.000
La1 0.000 0.500 0.500
Ga1 0.500 0.500 0.000
H1 0.500 0.500 0.500
```

***

The following is a DFT calculation (GGA-PBE) of a relaxed structure of AcCuSiNi6.

Values from the calculation:
Raw total energy in hartree per atom: -0.2024
Formation energy (no corrections) in eV per atom: -0.14

Geometry as CIF:
```
data_AcCuSiNi6
_chemical_formula_sum 'Ac4 Cu4 Si4 Ni24'
_cell_length_a 5.083
_cell_length_b 7.593
_cell_length_c 13.625
_cell_angle_alpha 90.00
_cell_angle_beta 90.00
_cell_angle_gamma 90.00
_symmetry_space_group_name_H-M 'I m m a'
_symmetry_Int_Tables_number 74
_symmetry_space_group_name_Hall '-I 2b 2'
loop_
_atom_site_label
_atom_site_fract_x
_atom_site_fract_y
_atom_site_fract_z
Ac1 0.000 0.250 0.004
Cu1 0.000 0.000 0.500
Si1 0.250 0.250 0.750
Ni1 0.000 0.250 0.248
Ni2 0.000 0.250 0.614
Ni3 0.247 0.016 0.339
```

***

The following is a DFT calculation (GGA-PBE) of a relaxed structure of La2Be2Nb.

Values from the calculation:
ΔH_f (0 K) in eV/atom: 0.4868
Raw total energy in hartree per atom: -0.1833
Energy relative to the lowest polymorph listed for this composition in kcal/mol of atoms: 0.00

Geometry as CIF:
```
data_La2Be2Nb
_chemical_formula_sum 'La4 Be4 Nb2'
_cell_length_a 3.118
_cell_length_b 3.118
_cell_length_c 21.291
_cell_angle_alpha 90.00
_cell_angle_beta 90.00
_cell_angle_gamma 90.00
_symmetry_space_group_name_H-M 'I 4/m m m'
_symmetry_Int_Tables_number 139
_symmetry_space_group_name_Hall '-I 4 2'
loop_
_atom_site_label
_atom_site_fract_x
_atom_site_fract_y
_atom_site_fract_z
La1 0.000 0.000 0.116
Be1 0.000 0.500 0.250
Nb1 0.000 0.000 0.500
```

***

The following is a DFT calculation (GGA-PBE) of a relaxed structure of Mo2RuRh2.

Values from the calculation:
ΔH_f (0 K) in eV/atom: 0.1524
Raw total energy in hartree per atom: -0.3299
Energy relative to the lowest polymorph listed for this composition in kcal/mol of atoms: 4.32

Geometry as CIF:
```
data_Mo2RuRh2
_chemical_formula_sum 'Mo4 Ru2 Rh4'
_cell_length_a 7.405
_cell_length_b 7.405
_cell_length_c 2.802
_cell_angle_alpha 90.00
_cell_angle_beta 90.00
_cell_angle_gamma 90.00
_symmetry_space_group_name_H-M 'P 4/m b m'
_symmetry_Int_Tables_number 127
_symmetry_space_group_name_Hall '-P 4 2ab'
loop_
_atom_site_label
_atom_site_fract_x
_atom_site_fract_y
_atom_site_fract_z
Mo1 0.173 0.327 0.000
Ru1 0.000 0.000 0.500
Rh1 0.126 0.626 0.500
```

***

The following is a DFT calculation (GGA-PBE) of a relaxed structure of Y3CdO.

Values from the calculation:
Raw total energy in hartree per atom: -0.2175
Formation energy (no corrections) in eV per atom: -0.87
Energy relative to the lowest polymorph listed for this composition in kcal/mol of atoms: 10.85

Geometry as CIF:
```
data_Y3CdO
_chemical_formula_sum 'Y12 Cd4 O4'
_cell_length_a 9.943
_cell_length_b 8.754
_cell_length_c 6.520
_cell_angle_alpha 90.00
_cell_angle_beta 90.00
_cell_angle_gamma 90.00
_symmetry_space_group_name_H-M 'C m c m'
_symmetry_Int_Tables_number 63
_symmetry_space_group_name_Hall '-C 2c 2'
loop_
_atom_site_label
_atom_site_fract_x
_atom_site_fract_y
_atom_site_fract_z
Y1 0.000 0.000 0.000
Y2 0.188 0.341 0.250
Cd1 0.000 0.304 0.750
O1 0.000 0.438 0.250
```

***

The following is a DFT calculation (GGA-PBE) of a relaxed structure of Zn5Ru4.

Values from the calculation:
ΔH_f (0 K) in eV/atom: -0.0160
Raw total energy in hartree per atom: -0.1781
Energy relative to the lowest polymorph listed for this composition in kcal/mol of atoms: 0.00

Geometry as CIF:
```
data_Zn5Ru4
_chemical_formula_sum 'Zn10 Ru8'
_cell_length_a 7.940
_cell_length_b 7.940
_cell_length_c 3.981
_cell_angle_alpha 90.00
_cell_angle_beta 90.00
_cell_angle_gamma 90.00
_symmetry_space_group_name_H-M 'I 4/m m m'
_symmetry_Int_Tables_number 139
_symmetry_space_group_name_Hall '-I 4 2'
loop_
_atom_site_label
_atom_site_fract_x
_atom_site_fract_y
_atom_site_fract_z
Zn1 0.000 0.000 0.000
Zn2 0.168 0.168 0.500
Ru1 0.000 0.335 0.000
```

***

The following is a DFT calculation (GGA-PBE) of a relaxed structure of Ta2TcP.

Values from the calculation:
ΔH_f (0 K) in eV/atom: -0.2542
Raw total energy in hartree per atom: -0.3721

Geometry as CIF:
```
data_Ta2TcP
_chemical_formula_sum 'Ta4 Tc2 P2'
_cell_length_a 5.554
_cell_length_b 7.171
_cell_length_c 3.166
_cell_angle_alpha 90.00
_cell_angle_beta 90.00
_cell_angle_gamma 90.00
_symmetry_space_group_name_H-M 'C m m m'
_symmetry_Int_Tables_number 65
_symmetry_space_group_name_Hall '-C 2 2'
loop_
_atom_site_label
_atom_site_fract_x
_atom_site_fract_y
_atom_site_fract_z
Ta1 0.250 0.250 0.000
Tc1 0.000 0.000 0.500
P1 0.000 0.500 0.500
```

***

The following is a DFT calculation (GGA-PBE) of a relaxed structure of Er3ScRu2.

Values from the calculation:
ΔH_f (0 K) in eV/atom: -0.2746
Raw total energy in hartree per atom: -0.2463
Energy relative to the lowest polymorph listed for this composition in kcal/mol of atoms: 2.75

Geometry as CIF:
```
data_Er3ScRu2
_chemical_formula_sum 'Er12 Sc4 Ru8'
_cell_length_a 6.549
_cell_length_b 13.171
_cell_length_c 6.933
_cell_angle_alpha 90.00
_cell_angle_beta 90.00
_cell_angle_gamma 90.00
_symmetry_space_group_name_H-M 'I b a m'
_symmetry_Int_Tables_number 72
_symmetry_space_group_name_Hall '-I 2 2c'
loop_
_atom_site_label
_atom_site_fract_x
_atom_site_fract_y
_atom_site_fract_z
Er1 0.000 0.000 0.250
Er2 0.000 0.269 0.250
Sc1 0.000 0.500 0.000
Ru1 0.226 0.132 0.000
```

***

The following is a DFT calculation (GGA-PBE) of a relaxed structure of CsYIN2.

Values from the calculation:
Raw total energy in hartree per atom: -0.1277
Formation energy (no corrections) in eV per atom: 1.63
Energy relative to the lowest polymorph listed for this composition in kcal/mol of atoms: 34.38

Geometry as CIF:
```
data_CsYIN2
_chemical_formula_sum 'Cs1 Y1 I1 N2'
_cell_length_a 4.539
_cell_length_b 4.539
_cell_length_c 6.320
_cell_angle_alpha 90.00
_cell_angle_beta 90.00
_cell_angle_gamma 90.00
_symmetry_space_group_name_H-M 'P 4/m m m'
_symmetry_Int_Tables_number 123
_symmetry_space_group_name_Hall '-P 4 2'
loop_
_atom_site_label
_atom_site_fract_x
_atom_site_fract_y
_atom_site_fract_z
Cs1 0.000 0.000 0.000
Y1 0.500 0.500 0.500
I1 0.000 0.000 0.500
N1 0.000 0.500 0.000
```

***

The following is a DFT calculation (GGA-PBE) of a relaxed structure of CaNbSb.

Values from the calculation:
Raw total energy in hartree per atom: -0.2066
Formation energy (no corrections) in eV per atom: -0.22

Geometry as CIF:
```
data_CaNbSb
_chemical_formula_sum 'Ca4 Nb4 Sb4'
_cell_length_a 4.217
_cell_length_b 8.421
_cell_length_c 8.963
_cell_angle_alpha 90.00
_cell_angle_beta 90.00
_cell_angle_gamma 90.00
_symmetry_space_group_name_H-M 'I m m 2'
_symmetry_Int_Tables_number 44
loop_
_symmetry_equiv_pos_as_xyz
'x,y,z'
'-x,-y,z'
'-x,y,z'
'x,-y,z'
'x+1/2,y+1/2,z+1/2'
'-x+1/2,-y+1/2,z+1/2'
'-x+1/2,y+1/2,z+1/2'
'x+1/2,-y+1/2,z+1/2'
loop_
_atom_site_label
_atom_site_fract_x
_atom_site_fract_y
_atom_site_fract_z
Ca1 0.000 0.000 0.000
Ca2 0.000 0.500 0.153
Nb1 0.000 0.139 0.378
Sb1 0.000 0.277 0.678
```

***

The following is a DFT calculation (GGA-PBE) of a relaxed structure of SrMgIr2.

Values from the calculation:
ΔH_f (0 K) in eV/atom: 0.0575
Raw total energy in hartree per atom: -0.1908

Geometry as CIF:
```
data_SrMgIr2
_chemical_formula_sum 'Sr2 Mg2 Ir4'
_cell_length_a 9.004
_cell_length_b 3.038
_cell_length_c 6.111
_cell_angle_alpha 90.00
_cell_angle_beta 99.95
_cell_angle_gamma 90.00
_symmetry_space_group_name_H-M 'C 1 2/m 1'
_symmetry_Int_Tables_number 12
loop_
_symmetry_equiv_pos_as_xyz
'x,y,z'
'-x,-y,-z'
'-x,y,-z'
'x,-y,z'
'x+1/2,y+1/2,z'
'-x+1/2,-y+1/2,-z'
'-x+1/2,y+1/2,-z'
'x+1/2,-y+1/2,z'
loop_
_atom_site_label
_atom_site_fract_x
_atom_site_fract_y
_atom_site_fract_z
Sr1 0.000 0.000 0.000
Mg1 0.000 0.500 0.500
Ir1 0.239 0.000 0.672
```

***

The following is a DFT calculation (GGA-PBE) of a relaxed structure of Zn2BiH.

Values from the calculation:
Raw total energy in hartree per atom: -0.0815
Energy relative to the lowest polymorph listed for this composition in kcal/mol of atoms: 0.00

Geometry as CIF:
```
data_Zn2BiH
_chemical_formula_sum 'Zn8 Bi4 H4'
_cell_length_a 4.898
_cell_length_b 4.898
_cell_length_c 12.066
_cell_angle_alpha 90.00
_cell_angle_beta 90.00
_cell_angle_gamma 90.00
_symmetry_space_group_name_H-M 'I -4 2 d'
_symmetry_Int_Tables_number 122
_symmetry_space_group_name_Hall 'I -4 2bw'
loop_
_atom_site_label
_atom_site_fract_x
_atom_site_fract_y
_atom_site_fract_z
Zn1 0.060 0.250 0.125
Bi1 0.000 0.000 0.500
H1 0.000 0.000 0.000
```

***

The following is a DFT calculation (GGA-PBE) of a relaxed structure of Na2Tl3Sn2.

Values from the calculation:
ΔH_f (0 K) in eV/atom: -0.0779
Raw total energy in hartree per atom: -0.0960
Energy relative to the lowest polymorph listed for this composition in kcal/mol of atoms: 0.55

Geometry as CIF:
```
data_Na2Tl3Sn2
_chemical_formula_sum 'Na2 Tl3 Sn2'
_cell_length_a 5.772
_cell_length_b 5.787
_cell_length_c 6.522
_cell_angle_alpha 98.63
_cell_angle_beta 110.57
_cell_angle_gamma 92.66
_symmetry_space_group_name_H-M 'P -1'
_symmetry_Int_Tables_number 2
loop_
_symmetry_equiv_pos_as_xyz
'x,y,z'
'-x,-y,-z'
loop_
_atom_site_label
_atom_site_fract_x
_atom_site_fract_y
_atom_site_fract_z
Na1 0.159 0.066 0.297
Tl1 0.000 0.500 0.000
Tl2 0.286 0.638 0.581
Sn1 0.423 0.210 0.874
```

***

The following is a DFT calculation (GGA-PBE) of a relaxed structure of Ho3Tm7Pu.

Values from the calculation:
ΔH_f (0 K) in eV/atom: 0.2109
Raw total energy in hartree per atom: -0.1906

Geometry as CIF:
```
data_Ho3Tm7Pu
_chemical_formula_sum 'Ho3 Tm7 Pu1'
_cell_length_a 6.9122
_cell_length_b 6.9122
_cell_length_c 8.4313
_cell_angle_alpha 90.00
_cell_angle_beta 90.00
_cell_angle_gamma 120.00
_symmetry_space_group_name_H-M 'P 3 m 1'
_symmetry_Int_Tables_number 156
loop_
_symmetry_equiv_pos_as_xyz
'x,y,z'
'-y,x-y,z'
'-x+y,-x,z'
'-y,-x,z'
'-x+y,y,z'
'x,x-y,z'
loop_
_atom_site_label
_atom_site_fract_x
_atom_site_fract_y
_atom_site_fract_z
Ho1 0.0034 0.5017 0.0000
Tm1 0.1689 0.3378 0.3409
Tm2 0.3349 0.1675 0.6670
Tm3 0.6667 0.3333 0.3356
Pu1 0.3333 0.6667 0.6703
```